No. 1
Material: BiTePS2
Method: DFT, GGA-PBE
State: relaxed

```
BiTePS2
1.0
-1.5623 4.8449 -0.1984
-3.5775 -1.2924 -3.3888
-3.5110 -0.9653 4.0747
Te S Bi P
1 2 1 1
Cartesian
-4.3254 1.2936 0.2437
-0.7811 2.4224 -0.0992
-1.7888 -0.6462 -1.6944
0.0000 0.0000 0.0000
-1.7555 -0.4827 2.0373
```

## Properties
VASP energy ... -3.228 eV/atom
Symmetry ... No. 123

No. 2
Material: NdSI
Method: DFT, GGA-PBE
State: relaxed

```
NdSI
1.0
7.1021 0.0000 0.0000
0.0000 7.3030 0.0000
0.0000 0.0000 14.4259
I Nd S
8 8 8
Cartesian
5.9154 6.5671 4.2877
2.3644 0.7359 2.9253
1.1867 4.3874 11.5006
4.7377 2.9156 10.1382
2.3644 4.3874 4.2877
1.1867 0.7359 10.1382
5.9154 2.9156 2.9253
4.7377 6.5671 11.5006
1.8294 7.0875 13.2283
1.8294 3.4360 8.4106
5.3805 0.2155 8.4106
5.2726 0.2155 1.1976
5.3805 3.8669 13.2283
5.2726 3.8669 6.0153
1.7216 3.4360 1.1976
1.7216 7.0875 6.0153
7.0928 5.4167 7.5468
3.5603 1.7652 6.8791
3.5418 1.8863 14.0921
0.0092 1.8863 6.8791
3.5418 5.5378 7.5468
7.0928 1.7652 14.0921
3.5603 5.4167 0.3338
0.0092 5.5378 0.3338
```

## Properties
VASP energy ... -5.253 eV/atom
Symmetry ... No. 61

No. 3
Material: Zn3CdBr
Method: DFT, GGA-PBE
State: relaxed

```
Zn3CdBr
1.0
-0.1297 1.2962 5.0162
-4.8123 -1.8890 0.3637
1.9194 -4.6487 1.2509
Zn Cd Br
3 1 1
Cartesian
-0.0649 0.6481 2.5081
-2.4062 -0.9445 0.1818
0.9597 -2.3244 0.6254
0.0000 0.0000 0.0000
-1.5114 -2.6208 3.3154
```

## Properties
VASP energy ... -1.099 eV/atom
Symmetry ... No. 221

No. 4
Material: BaCa2Ta
Method: DFT, GGA-PBE
State: relaxed

```
BaCa2Ta
1.0
-7.2090 -1.2817 1.3057
-2.4621 -5.8943 3.8095
3.8207 6.3532 -0.5971
Ca Ba Ta
2 1 1
Cartesian
-5.2810 -3.9185 2.7932
-9.2257 -6.8455 4.8795
-1.7385 -1.5646 2.8850
-4.1119 0.7418 1.6331
```

## Properties
Energy relative to the elements ... 0.781 eV per atom
Symmetry ... No. 71

No. 5
Material: CePrNd4
Method: DFT, GGA-PBE
State: relaxed

```
CePrNd4
1.0
2.1655 2.6323 -3.1966
-2.7090 3.6287 1.1535
7.2496 3.0521 7.4247
Pr Nd Ce
1 4 1
Cartesian
0.0000 0.0000 0.0000
4.0149 4.0749 6.0758
6.4522 3.5767 3.9008
0.5257 2.6059 2.5024
2.9630 2.1077 0.3274
3.3531 4.6565 2.6908
```

## Properties
Energy relative to the elements ... 0.672 eV per atom
Symmetry ... No. 123

No. 6
Material: CsNbSbTe2
Method: DFT, GGA-PBE
State: relaxed

```
CsNbSbTe2
1.0
5.5871 0.0000 0.0000
0.0000 5.5871 0.0000
0.0000 0.0000 5.5151
Te Sb Cs Nb
2 1 1 1
Cartesian
0.0000 2.7935 0.0000
2.7935 0.0000 0.0000
0.0000 0.0000 2.7575
2.7935 2.7935 2.7575
0.0000 0.0000 0.0000
```

## Properties
VASP energy ... -4.547 eV/atom
Symmetry ... No. 123

No. 7
Material: SrCuOF2
Method: DFT, GGA-PBE
State: relaxed

```
SrCuOF2
1.0
4.0717 0.0000 0.0000
0.0000 4.0717 0.0000
0.0000 0.0000 3.9184
F O Sr Cu
2 1 1 1
Cartesian
0.0000 2.0359 0.0000
2.0359 0.0000 0.0000
0.0000 0.0000 1.9592
2.0359 2.0359 1.9592
0.0000 0.0000 0.0000
```

## Properties
VASP energy ... -5.113 eV/atom
Symmetry ... No. 123

No. 8
Material: Zn2SbAu2
Method: DFT, GGA-PBE
State: relaxed

```
Zn2SbAu2
1.0
-4.6818 5.8935 -2.4846
-4.5725 -0.9312 6.4072
1.6879 1.9694 1.4908
Zn Au Sb
4 4 2
Cartesian
-6.0832 3.8596 4.7906
-2.6076 1.1439 4.4429
-4.9588 5.7878 0.9704
-1.4832 3.0721 0.6227
-6.9495 4.2688 2.2291
-5.3416 1.1727 4.4986
-2.3048 0.6935 1.6934
-3.9127 3.7896 -0.5761
0.0000 0.0000 0.0000
-4.6272 2.4812 1.9613
```

## Properties
VASP energy ... -2.738 eV/atom
Symmetry ... No. 127

No. 9
Material: RbTl2O4
Method: DFT, GGA-PBE
State: relaxed

```
RbTl2O4
1.0
7.0677 -0.5230 0.9061
-2.8479 6.4896 -0.9061
-1.3719 -3.5052 6.0727
Tl O Rb
4 8 2
Cartesian
0.3427 4.2325 0.4193
4.6151 -1.0262 4.3614
-0.3432 2.4805 3.4560
1.0812 -0.7641 3.9087
1.4349 3.4601 2.2299
0.7490 1.2990 5.0304
3.1372 -0.3900 2.7870
-0.9747 -1.1393 5.0299
-0.3967 0.2810 2.5703
-1.4354 3.6619 1.8814
-2.1213 1.4998 4.6814
2.5591 -1.8094 5.2471
3.5338 1.9762 1.7447
0.0000 0.0000 0.0000
```

## Properties
VASP energy ... -4.283 eV/atom
Symmetry ... No. 141

No. 10
Material: Tb4Tl3Au
Method: DFT, GGA-PBE
State: relaxed

```
Tb4Tl3Au
1.0
3.6328 0.0000 0.0000
0.0000 3.6328 0.0000
0.0000 0.0000 16.1463
Tl Tb Au
3 4 1
Cartesian
1.8164 1.8164 12.2545
1.8164 1.8164 8.0731
1.8164 1.8164 3.8918
0.0000 0.0000 14.3792
0.0000 0.0000 1.7671
0.0000 0.0000 10.1757
0.0000 0.0000 5.9706
1.8164 1.8164 0.0000
```

## Properties
Energy relative to the elements ... -0.480 eV per atom
Symmetry ... No. 123

No. 11
Material: Tb2Sm4Tm5
Method: DFT, GGA-PBE
State: relaxed

```
Tb2Sm4Tm5
1.0
3.4929 0.0000 0.0000
0.0000 8.8057 0.4333
-1.7465 -2.5337 11.6364
Tm Sm Tb
5 4 2
Cartesian
1.7465 0.0000 0.0000
1.7465 -0.7440 7.5187
0.0000 7.0160 4.5511
1.7465 5.0955 9.6262
0.0000 1.1765 2.4436
1.7465 4.0423 3.2293
1.7465 0.3123 11.1522
0.0000 2.2296 8.8404
0.0000 5.9597 0.9175
0.0000 1.6823 5.5278
1.7465 4.5896 6.5419
```

## Properties
Energy relative to the elements ... 0.229 eV per atom
Symmetry ... No. 12

No. 12
Material: LiNdAs2Pd5
Method: DFT, GGA-PBE
State: relaxed

```
LiNdAs2Pd5
1.0
4.2176 0.0000 0.0000
0.0000 4.2176 0.0000
0.0000 0.0000 9.3320
As Nd Li Pd
2 1 1 5
Cartesian
2.1088 2.1088 1.2288
2.1088 2.1088 8.1032
0.0000 0.0000 4.6660
0.0000 0.0000 0.0000
0.0000 2.1088 6.8132
0.0000 2.1088 2.5188
2.1088 0.0000 6.8132
2.1088 2.1088 4.6660
2.1088 0.0000 2.5188
```

## Properties
Energy relative to the elements ... -0.612 eV per atom
Symmetry ... No. 123

| no. | density of states at the Fermi level (states/eV per cell) |
| --- | --- |
| 1 | 6.82 |
| 2 | 0.00 |
| 3 | 1.30 |
| 4 | 5.68 |
| 5 | 15.98 |
| 6 | 2.27 |
| 7 | 1.64 |
| 8 | 4.95 |
| 9 | 17.92 |
| 10 | 6.19 |
| 11 | 16.45 |
| 12 | 2.99 |